Entry 1:
MnMoRh2: PBEsol geometry, meta-GGA SCAN.

Cell: 4.296 4.296 4.296 Å, 60.00 60.00 60.00°
Fractional positions:
Mn: 0.000 0.000 0.000
Mo: 0.500 0.500 0.500
Rh: 0.250 0.250 0.250
Rh: 0.750 0.750 0.750

Summary:
The calculation puts the calculated formation energy at -0.138 eV per atom. The relative energy among the computed polymorphs is 0.56 eV/f.u. The value obtained for the density of states at the Fermi level is 5.01 states/eV/cell. The value obtained for the uncorrected energy is -30.31 eV/atom.



Entry 2:
BaSb2: PBEsol geometry, meta-GGA SCAN.

Cell: 5.188 4.386 9.149 Å, 90.00 101.65 90.00°
Fractional positions:
Ba: 0.080 0.250 0.210
Ba: 0.920 0.750 0.790
Sb: 0.330 0.750 0.525
Sb: 0.457 0.250 0.891
Sb: 0.543 0.750 0.109
Sb: 0.670 0.250 0.475

Summary:
The value obtained for the density of states at the Fermi level is 0.61 states/eV/cell. The value obtained for the uncorrected energy is -38.82 eV/atom.



Entry 3:
HgAs2I2: PBEsol geometry, meta-GGA SCAN.

Cell: 8.862 8.862 3.576 Å, 90.00 90.00 90.00°
Fractional positions:
Hg: 0.000 0.000 0.000
Hg: 0.500 0.500 0.000
As: 0.099 0.401 0.500
As: 0.401 0.901 0.500
As: 0.599 0.099 0.500
As: 0.901 0.599 0.500
I: 0.174 0.674 0.000
I: 0.326 0.174 0.000
I: 0.674 0.826 0.000
I: 0.826 0.326 0.000

Summary:
The value obtained for the density of states at the Fermi level is 5.57 states/eV/cell. The value obtained for the uncorrected energy is -35.86 eV/atom.



Entry 4:
MgHg2Pb: PBEsol geometry, meta-GGA SCAN.

Cell: 9.531 9.531 9.531 Å, 20.84 20.84 20.84°
Fractional positions:
Mg: 0.000 0.000 0.000
Hg: 0.258 0.258 0.258
Hg: 0.742 0.742 0.742
Pb: 0.500 0.500 0.500

Summary:
The calculation puts the calculated formation energy at -0.143 eV per atom. The value obtained for the density of states at the Fermi level is 1.59 states/eV/cell. The value obtained for the uncorrected energy is -54.41 eV/atom.



Entry 5:
Fe2ReMo: PBEsol geometry, meta-GGA SCAN.

Cell: 2.648 3.594 5.331 Å, 90.00 90.00 90.00°
Fractional positions:
Fe: 0.000 0.000 0.000
Fe: 0.500 0.500 0.234
Re: 0.500 0.500 0.777
Mo: 0.000 0.000 0.473

Summary:
The calculation puts the calculated formation energy at 0.242 eV per atom. The value obtained for the density of states at the Fermi level is 4.14 states/eV/cell. The value obtained for the uncorrected energy is -35.32 eV/atom.



Entry 6:
TaIn2Br: PBEsol geometry, meta-GGA SCAN.

Cell: 9.351 9.351 9.351 Å, 20.25 20.25 20.25°
Fractional positions:
Ta: 0.000 0.000 0.000
In: 0.253 0.253 0.253
In: 0.747 0.747 0.747
Br: 0.500 0.500 0.500

Summary:
The relative energy among the computed polymorphs is 0.36 eV/f.u. The value obtained for the density of states at the Fermi level is 1.66 states/eV/cell. The value obtained for the uncorrected energy is -38.02 eV/atom.



- uncorrected energy of number 1 (MnMoRh2)?
  -30.31 eV/atom



- The highest uncorrected energy belongs to which entry?
  MnMoRh2



- Among the records above, which one has the lowest uncorrected energy?
  MgHg2Pb